# KCd4Pt (GGA-PBEsol, relaxed)
# Energy relative to the elements (eV per atom): 0.10
data_KCd4Pt
_cell_length_a 7.996
_cell_length_b 7.996
_cell_length_c 7.996
_cell_angle_alpha 90.00
_cell_angle_beta 90.00
_cell_angle_gamma 90.00
_symmetry_space_group_name_H-M 'F -4 3 m'
_symmetry_Int_Tables_number 216
_symmetry_space_group_name_Hall 'F -4 2 3'
loop_
_atom_site_label
_atom_site_fract_x
_atom_site_fract_y
_atom_site_fract_z
K1 0.000 0.000 0.000
Cd1 0.124 0.124 0.376
Pt1 0.250 0.250 0.750